<1>
The following is a GGA-PBE calculation of crystalline Zr2Pa2Se7 at its relaxed geometry, from Alexandria.

Geometry as POSCAR:
```
Zr2Pa2Se7
1.0
8.180 0.000 4.723
2.727 7.713 4.723
0.000 0.000 9.446
Zr Pa Se
4 4 14
direct
0.625 0.125 0.125
0.125 0.625 0.125
0.125 0.125 0.625
0.125 0.125 0.125
0.625 0.625 0.625
0.625 0.625 0.125
0.625 0.125 0.625
0.125 0.625 0.625
0.226 0.226 0.774
0.226 0.774 0.226
0.476 0.024 0.476
0.476 0.476 0.024
0.750 0.750 0.750
0.774 0.226 0.226
0.476 0.024 0.024
0.024 0.476 0.476
0.024 0.024 0.476
0.024 0.476 0.024
0.226 0.774 0.774
0.500 0.500 0.500
0.774 0.226 0.774
0.774 0.774 0.226
```

SG: No. 227
M_tot: 7.9 μB per cell

<2>
The following is a GGA-PBE calculation of crystalline Zr2Pa2Se7 at its relaxed geometry, from Alexandria.

Geometry as POSCAR:
```
Zr2Pa2Se7
1.0
7.581 0.159 0.182
-0.487 6.975 -0.679
-0.487 -1.601 6.823
Zr Pa Se
2 2 7
direct
0.000 0.356 0.644
0.000 0.644 0.356
0.357 0.284 0.284
0.643 0.716 0.716
0.802 0.972 0.554
0.198 0.446 0.028
0.198 0.028 0.446
0.802 0.554 0.972
0.500 0.000 0.000
0.270 0.610 0.610
0.730 0.390 0.390
```

SG: No. 12
M_tot: 0.2 μB per cell

Which structure is most stable? <1>, by 61 meV per atom over the runner-up.

<1>
The following is a GGA-PBE calculation of crystalline PaSi2 at its relaxed geometry, from Alexandria.

Geometry as POSCAR:
```
PaSi2
1.0
3.821 0.000 0.000
0.000 6.000 0.000
0.000 0.000 10.376
Pa Si
4 8
direct
0.750 0.785 0.104
0.250 0.715 0.604
0.750 0.285 0.396
0.250 0.215 0.896
0.750 0.891 0.797
0.750 0.800 0.393
0.250 0.700 0.893
0.250 0.609 0.297
0.750 0.391 0.703
0.750 0.300 0.107
0.250 0.200 0.607
0.250 0.109 0.203
```

SG: No. 62
M_tot: 0.0 μB per cell

<2>
The following is a GGA-PBE calculation of crystalline PaSi2 at its relaxed geometry, from Alexandria.

Geometry as POSCAR:
```
PaSi2
1.0
-2.849 -0.623 -2.698
-1.868 -2.265 2.677
-0.522 3.950 1.302
Si Pa
2 1
direct
0.099 0.099 0.295
0.901 0.901 0.705
0.500 0.500 0.000
```

SG: No. 12
M_tot: 0.0 μB per cell

Which structure is most stable? <1>, by 181 meV per atom over the runner-up.